Entry 1:
The following is a DFT calculation (PBE) of an optimized crystal structure of CeErP2.

The structure in POSCAR format:
```
CeErP2
1.0
4.018 0.000 0.000
-2.009 3.480 0.000
0.000 0.000 13.133
Ce Er P
2 2 4
direct
0.000 0.000 0.000 Ce
0.000 0.000 0.500 Ce
0.333 0.667 0.250 Er
0.667 0.333 0.750 Er
0.333 0.667 0.626 P
0.333 0.667 0.874 P
0.667 0.333 0.126 P
0.667 0.333 0.374 P
```

* energy relative to the lowest polymorph listed for this composition: 56 meV per atom
* final energy: -54.6 eV/cell
* symmetry: P6_3/mmc (194)
* Fermi-level density of states: 0.970 states/eV/atom
* energy relative to the elements: -1.50 eV per atom
* M_tot: 0.76 μB/cell



Entry 2:
The following is a DFT calculation (PBE) of an optimized crystal structure of Ce5Er3P8.

The structure in POSCAR format:
```
Ce5Er3P8
1.0
4.045 2.335 6.594
-4.045 2.335 6.594
0.000 -4.671 6.594
Ce Er P
5 3 8
direct
0.000 0.000 0.000 Ce
0.000 0.500 0.500 Ce
0.500 0.000 0.500 Ce
0.500 0.500 0.000 Ce
0.500 0.500 0.500 Ce
0.000 0.000 0.500 Er
0.000 0.500 0.000 Er
0.500 0.000 0.000 Er
0.245 0.750 0.750 P
0.248 0.248 0.248 P
0.250 0.250 0.755 P
0.250 0.755 0.250 P
0.750 0.245 0.750 P
0.750 0.750 0.245 P
0.752 0.752 0.752 P
0.755 0.250 0.250 P
```

* final energy: -111.2 eV/cell
* symmetry: R-3m (166)
* Fermi-level density of states: 1.345 states/eV/atom
* energy relative to the elements: -1.54 eV per atom
* M_tot: 2.67 μB/cell



Entry 3:
The following is a DFT calculation (PBE) of an optimized crystal structure of CeErP.

The structure in POSCAR format:
```
CeErP
1.0
0.000 3.353 3.353
3.353 0.000 3.353
3.353 3.353 0.000
Ce Er P
1 1 1
direct
0.000 0.000 0.000 Ce
0.500 0.500 0.500 Er
0.750 0.750 0.750 P
```

* final energy: -18.1 eV/cell
* symmetry: F-43m (216)
* Fermi-level density of states: 2.655 states/eV/atom
* energy relative to the elements: -0.73 eV per atom
* M_tot: 1.22 μB/cell



Entry 4:
The following is a DFT calculation (PBE) of an optimized crystal structure of Ce4ErP6.

The structure in POSCAR format:
```
Ce4ErP6
1.0
5.552 3.206 4.678
-5.552 3.206 4.678
0.000 -6.411 4.678
Ce Er P
8 2 12
direct
0.130 0.750 0.370 Ce
0.250 0.250 0.250 Ce
0.250 0.630 0.870 Ce
0.370 0.130 0.750 Ce
0.630 0.870 0.250 Ce
0.750 0.370 0.130 Ce
0.750 0.750 0.750 Ce
0.870 0.250 0.630 Ce
0.000 0.000 0.000 Er
0.500 0.500 0.500 Er
0.068 0.915 0.679 P
0.085 0.321 0.932 P
0.179 0.415 0.568 P
0.321 0.932 0.085 P
0.415 0.568 0.179 P
0.432 0.821 0.585 P
0.568 0.179 0.415 P
0.585 0.432 0.821 P
0.679 0.068 0.915 P
0.821 0.585 0.432 P
0.915 0.679 0.068 P
0.932 0.085 0.321 P
```

* final energy: -149.2 eV/cell
* symmetry: R-3c (167)
* Fermi-level density of states: 1.139 states/eV/atom
* energy relative to the elements: -1.26 eV per atom
* M_tot: 2.54 μB/cell



Question: Among the records above, which one has the highest Fermi-level density of states?
Answer: CeErP



Question: What is the formula in the fourth record?
Answer: Ce4ErP6



Repeat the first record exactly.
The following is a DFT calculation (PBE) of an optimized crystal structure of CeErP2.

The structure in POSCAR format:
```
CeErP2
1.0
4.018 0.000 0.000
-2.009 3.480 0.000
0.000 0.000 13.133
Ce Er P
2 2 4
direct
0.000 0.000 0.000 Ce
0.000 0.000 0.500 Ce
0.333 0.667 0.250 Er
0.667 0.333 0.750 Er
0.333 0.667 0.626 P
0.333 0.667 0.874 P
0.667 0.333 0.126 P
0.667 0.333 0.374 P
```

* energy relative to the lowest polymorph listed for this composition: 56 meV per atom
* final energy: -54.6 eV/cell
* symmetry: P6_3/mmc (194)
* Fermi-level density of states: 0.970 states/eV/atom
* energy relative to the elements: -1.50 eV per atom
* M_tot: 0.76 μB/cell